Record 1
Computed, not measured: a relaxed structure of PrNd3Tm at the PBE-GGA level of DFT.

Results
Formation energy, meV/atom: 14
Energy, hartree per atom: -0.1726
Energy above the most stable polymorph in this dataset, meV per atom: 0

a = 6.3248 Å, b = 7.3031 Å, c = 8.1607 Å
α = 77.12°, β = 75.08°, γ = 72.96°
Space group P-1 (No. 2)
One atom of each set of equivalent atoms:
1 Pr 0.2006 0.0495 0.0998 x2
2 Nd 0.0025 0.2478 0.4994 x2
3 Nd 0.2029 0.5491 0.1010 x2
4 Nd 0.3997 0.3494 0.6972 x2
5 Tm 0.4003 0.8514 0.6983 x2

=====

Record 2
Computed, not measured: a relaxed structure of Pr7NdTm12 at the PBE-GGA level of DFT.

Results
Formation energy, meV/atom: 639
Energy, hartree per atom: -0.1454
Energy above the most stable polymorph in this dataset, meV per atom: 411

a = 11.2546 Å, b = 11.2546 Å, c = 11.2546 Å
α = 90.00°, β = 90.00°, γ = 90.00°
Space group Im-3m (No. 229)
One atom of each set of equivalent atoms:
1 Pr 0.0000 0.0000 0.5000 x6
2 Pr 0.2500 0.2500 0.2500 x8
3 Nd 0.0000 0.0000 0.0000 x2
4 Tm 0.0000 0.2493 0.2493 x24

=====

Record 3
Computed, not measured: a relaxed structure of PrNd5Tm at the PBE-GGA level of DFT.

Results
Formation energy, meV/atom: 100
Energy, hartree per atom: -0.1700

a = 8.8234 Å, b = 9.9778 Å, c = 11.8259 Å
α = 90.00°, β = 109.84°, γ = 90.00°
Space group C2/c (No. 15)
One atom of each set of equivalent atoms:
1 Pr 0.0000 0.2490 0.2500 x4
2 Nd 0.0000 0.4014 0.7500 x4
3 Nd 0.1187 0.0663 0.6622 x8
4 Nd 0.1700 0.4015 0.5355 x8
5 Tm 0.2500 0.2500 0.0000 x4

=====

Record 4
Computed, not measured: a relaxed structure of Pr3Nd12Tm at the PBE-GGA level of DFT.

Results
Formation energy, meV/atom: 12
Energy, hartree per atom: -0.1742

a = 5.1975 Å, b = 5.1975 Å, c = 20.7604 Å
α = 90.00°, β = 90.00°, γ = 90.00°
Space group P4/mmm (No. 123)
One atom of each set of equivalent atoms:
1 Pr 0.0000 0.0000 0.0000 x1
2 Pr 0.0000 0.0000 0.2519 x2
3 Nd 0.0000 0.5000 0.1259 x4
4 Nd 0.0000 0.5000 0.3776 x4
5 Nd 0.5000 0.5000 0.0000 x1
6 Nd 0.5000 0.5000 0.2522 x2
7 Nd 0.5000 0.5000 0.5000 x1
8 Tm 0.0000 0.0000 0.5000 x1

=====

Record 5
Computed, not measured: a relaxed structure of Pr4Nd2Tm5 at the PBE-GGA level of DFT.

Results
Formation energy, meV/atom: 123
Energy, hartree per atom: -0.1659
Energy above the most stable polymorph in this dataset, meV per atom: 65

a = 24.2525 Å, b = 3.5464 Å, c = 8.7205 Å
α = 90.00°, β = 93.91°, γ = 90.00°
Space group C2/m (No. 12)
One atom of each set of equivalent atoms:
1 Pr 0.0419 0.0000 0.3395 x4
2 Pr 0.0895 0.5000 0.6978 x4
3 Nd 0.2258 0.5000 0.8257 x4
4 Tm 0.0000 0.5000 0.0000 x2
5 Tm 0.1306 0.0000 0.0478 x4
6 Tm 0.1875 0.0000 0.4722 x4

=====

Record 6
Computed, not measured: a relaxed structure of Pr12Nd6Tm at the PBE-GGA level of DFT.

Results
Formation energy, meV/atom: 291
Energy, hartree per atom: -0.1642
Energy above the most stable polymorph in this dataset, meV per atom: 170

a = 16.6381 Å, b = 16.6381 Å, c = 8.6916 Å
α = 90.00°, β = 90.00°, γ = 120.00°
Space group R-3m (No. 166, hexagonal axes)
One atom of each set of equivalent atoms:
1 Pr 0.0000 0.3798 0.0000 x18
2 Pr 0.0947 0.5473 0.3181 x18
3 Nd 0.0836 0.1671 0.1458 x18
4 Tm 0.0000 0.0000 0.5000 x3

=====

Record 7
Computed, not measured: a relaxed structure of Pr2Nd2Tm at the PBE-GGA level of DFT.

Results
Formation energy, meV/atom: 255
Energy, hartree per atom: -0.1638
Energy above the most stable polymorph in this dataset, meV per atom: 0

a = 7.1590 Å, b = 5.2712 Å, c = 10.2881 Å
α = 90.00°, β = 108.09°, γ = 90.00°
Space group P2_1/m (No. 11)
One atom of each set of equivalent atoms:
1 Pr 0.1165 0.2500 0.4433 x2
2 Pr 0.1352 0.2500 0.1116 x2
3 Nd 0.3713 0.7500 0.0148 x2
4 Nd 0.3989 0.7500 0.6462 x2
5 Tm 0.1134 0.2500 0.7755 x2

=====

Record 8
Computed, not measured: a relaxed structure of Pr2NdTm2 at the PBE-GGA level of DFT.

Results
Formation energy, meV/atom: 31
Energy, hartree per atom: -0.1699
Energy above the most stable polymorph in this dataset, meV per atom: 0

a = 6.2583 Å, b = 3.6105 Å, c = 14.7935 Å
α = 90.00°, β = 90.05°, γ = 90.00°
Space group C2/m (No. 12)
One atom of each set of equivalent atoms:
1 Pr 0.1677 0.0000 0.3923 x4
2 Nd 0.0000 0.5000 0.0000 x2
3 Tm 0.1660 0.0000 0.8037 x4

=====

Record 9
Computed, not measured: a relaxed structure of Pr5NdTm3 at the PBE-GGA level of DFT.

Results
Formation energy, meV/atom: 278
Energy, hartree per atom: -0.1616
Energy above the most stable polymorph in this dataset, meV per atom: 0

a = 20.3322 Å, b = 6.3141 Å, c = 11.6292 Å
α = 90.00°, β = 121.85°, γ = 90.00°
Space group C2/c (No. 15)
One atom of each set of equivalent atoms:
1 Pr 0.0000 0.1054 0.2500 x4
2 Pr 0.1417 0.1815 0.6588 x8
3 Pr 0.1795 0.3153 0.3351 x8
4 Nd 0.0000 0.3768 0.7500 x4
5 Tm 0.0000 0.5000 0.0000 x4
6 Tm 0.1761 0.2731 0.0275 x8

=====

Record 10
Computed, not measured: a relaxed structure of Pr2NdTm8 at the PBE-GGA level of DFT.

Results
Formation energy, meV/atom: 178
Energy, hartree per atom: -0.1608
Energy above the most stable polymorph in this dataset, meV per atom: 148

a = 16.4944 Å, b = 6.5816 Å, c = 6.6505 Å
α = 90.00°, β = 99.79°, γ = 90.00°
Space group C2/m (No. 12)
One atom of each set of equivalent atoms:
1 Pr 0.2450 0.0000 0.3076 x4
2 Nd 0.0000 0.0000 0.0000 x2
3 Tm 0.0870 0.2619 0.4046 x8
4 Tm 0.0879 0.5000 0.9052 x4
5 Tm 0.2028 0.0000 0.8002 x4

=====

Record 11
Computed, not measured: a relaxed structure of Pr3Nd7Tm at the PBE-GGA level of DFT.

Results
Formation energy, meV/atom: 161
Energy, hartree per atom: -0.1684
Energy above the most stable polymorph in this dataset, meV per atom: 0

a = 7.2638 Å, b = 7.2638 Å, c = 8.8649 Å
α = 90.00°, β = 90.00°, γ = 120.00°
Space group P3m1 (No. 156)
One atom of each set of equivalent atoms:
1 Pr 0.0011 0.5005 0.0000 x3
2 Nd 0.1672 0.3343 0.6643 x3
3 Nd 0.3337 0.1668 0.3311 x3
4 Nd 0.6667 0.3333 0.6585 x1
5 Tm 0.3333 0.6667 0.3387 x1

=====

Record 12
Computed, not measured: a relaxed structure of PrNd2Tm9 at the PBE-GGA level of DFT.

Results
Formation energy, meV/atom: 63
Energy, hartree per atom: -0.1648
Energy above the most stable polymorph in this dataset, meV per atom: 34

a = 11.1894 Å, b = 11.1894 Å, c = 3.5093 Å
α = 90.00°, β = 90.00°, γ = 120.00°
Space group P6/mmm (No. 191)
One atom of each set of equivalent atoms:
1 Pr 0.0000 0.0000 0.0000 x1
2 Nd 0.3333 0.6667 0.0000 x2
3 Tm 0.0000 0.5000 0.0000 x3
4 Tm 0.1765 0.3531 0.5000 x6

=====

Record 13
Computed, not measured: a relaxed structure of PrNd7Tm12 at the PBE-GGA level of DFT.

Results
Formation energy, meV/atom: 229
Energy, hartree per atom: -0.1603
Energy above the most stable polymorph in this dataset, meV per atom: 0

a = 11.9540 Å, b = 11.9540 Å, c = 16.1901 Å
α = 90.00°, β = 90.00°, γ = 120.00°
Space group R-3 (No. 148, hexagonal axes)
One atom of each set of equivalent atoms:
1 Pr 0.0000 0.0000 0.0000 x3
2 Nd 0.0000 0.0000 0.5000 x3
3 Nd 0.0502 0.1888 0.7910 x18
4 Tm 0.0174 0.4449 0.7197 x18
5 Tm 0.0493 0.5872 0.0838 x18

=====

Record 14
Computed, not measured: a relaxed structure of PrNd4Tm8 at the PBE-GGA level of DFT.

Results
Formation energy, meV/atom: 530
Energy, hartree per atom: -0.1491

a = 7.7916 Å, b = 7.7916 Å, c = 7.7916 Å
α = 90.00°, β = 90.00°, γ = 90.00°
Space group Pm-3m (No. 221)
One atom of each set of equivalent atoms:
1 Pr 0.0000 0.0000 0.0000 x1
2 Nd 0.0000 0.0000 0.5000 x3
3 Nd 0.5000 0.5000 0.5000 x1
4 Tm 0.2612 0.2612 0.2612 x8

=====

Record 15
Computed, not measured: a relaxed structure of Pr3Nd7Tm at the PBE-GGA level of DFT.

Results
Formation energy, meV/atom: 228
Energy, hartree per atom: -0.1660
Energy above the most stable polymorph in this dataset, meV per atom: 66

a = 11.8526 Å, b = 10.3428 Å, c = 6.5582 Å
α = 90.00°, β = 94.36°, γ = 90.00°
Space group C2/m (No. 12)
One atom of each set of equivalent atoms:
1 Pr 0.0000 0.0000 0.0000 x2
2 Pr 0.0000 0.1721 0.5000 x4
3 Nd 0.0000 0.5000 0.5000 x2
4 Nd 0.2413 0.0000 0.7158 x4
5 Nd 0.2415 0.3285 0.7618 x8
6 Tm 0.0000 0.5000 0.0000 x2

=====

Record 16
Computed, not measured: a relaxed structure of Pr3Nd2Tm8 at the PBE-GGA level of DFT.

Results
Formation energy, meV/atom: 26
Energy, hartree per atom: -0.1677
Energy above the most stable polymorph in this dataset, meV per atom: 0

a = 6.1784 Å, b = 6.2004 Å, c = 11.2629 Å
α = 89.76°, β = 79.27°, γ = 80.31°
Space group P-1 (No. 2)
One atom of each set of equivalent atoms:
1 Pr 0.0000 0.0000 0.0000 x1
2 Pr 0.2307 0.4621 0.0790 x2
3 Nd 0.3843 0.7692 0.4617 x2
4 Tm 0.0765 0.1529 0.6907 x2
5 Tm 0.1529 0.3073 0.3853 x2
6 Tm 0.3078 0.6143 0.7664 x2
7 Tm 0.4637 0.9250 0.1566 x2

=====

Record 17
Computed, not measured: a relaxed structure of PrNd15Tm4 at the PBE-GGA level of DFT.

Results
Formation energy, meV/atom: 12
Energy, hartree per atom: -0.1726

a = 5.1578 Å, b = 5.1578 Å, c = 25.7064 Å
α = 90.00°, β = 90.00°, γ = 90.00°
Space group P4/mmm (No. 123)
One atom of each set of equivalent atoms:
1 Pr 0.0000 0.0000 0.0000 x1
2 Nd 0.0000 0.5000 0.1025 x4
3 Nd 0.0000 0.5000 0.3013 x4
4 Nd 0.0000 0.5000 0.5000 x2
5 Nd 0.5000 0.5000 0.0000 x1
6 Nd 0.5000 0.5000 0.2026 x2
7 Nd 0.5000 0.5000 0.4007 x2
8 Tm 0.0000 0.0000 0.2021 x2
9 Tm 0.0000 0.0000 0.4007 x2

=====

Record 18
Computed, not measured: a relaxed structure of Pr12Nd5Tm at the PBE-GGA level of DFT.

Results
Formation energy, meV/atom: 13
Energy, hartree per atom: -0.1744

a = 15.6594 Å, b = 15.6634 Å, c = 5.2266 Å
α = 90.00°, β = 90.00°, γ = 90.00°
Space group Cmmm (No. 65)
One atom of each set of equivalent atoms:
1 Pr 0.0000 0.1646 0.0000 x4
2 Pr 0.0000 0.3332 0.5000 x4
3 Pr 0.1658 0.1653 0.5000 x8
4 Pr 0.1668 0.3335 0.0000 x8
5 Nd 0.0000 0.5000 0.0000 x2
6 Nd 0.1652 0.0000 0.0000 x4
7 Nd 0.1669 0.5000 0.5000 x4
8 Tm 0.0000 0.0000 0.5000 x2

=====

Record 19
Computed, not measured: a relaxed structure of PrNd2Tm3 at the PBE-GGA level of DFT.

Results
Formation energy, meV/atom: 211
Energy, hartree per atom: -0.1621
Energy above the most stable polymorph in this dataset, meV per atom: 141

a = 9.5231 Å, b = 13.1960 Å, c = 6.3907 Å
α = 90.00°, β = 90.00°, γ = 90.00°
Space group Cmc2_1 (No. 36)
One atom of each set of equivalent atoms:
1 Pr 0.0000 0.1735 0.0000 x4
2 Nd 0.1802 0.4433 0.2239 x8
3 Tm 0.0000 0.0835 0.4766 x4
4 Tm 0.1814 0.3030 0.6767 x8